Computed, not measured: Pm2TiGe4Au3 after structural relaxation at the PBE-GGA level of DFT.

Results
ΔH_f (0 K): -0.56 eV/atom

Cell lengths 4.268, 4.268, 11.392 Å; angles 90.00, 90.00, 90.00 degrees
Sites, in units of the cell vectors:
Au 0.500 0.000 0.858
Au 0.000 0.500 0.142
Au 0.000 0.000 0.500
Ti 0.500 0.500 0.500
Pm 0.000 0.500 0.748
Pm 0.500 0.000 0.252
Ge 0.000 0.500 0.364
Ge 0.500 0.000 0.636
Ge 0.000 0.000 0.000
Ge 0.500 0.500 0.000



Computed, not measured: Pu4Se5N after structural relaxation at the PBE-GGA level of DFT.

Cell lengths 3.958, 7.724, 8.851 Å; angles 103.22, 102.92, 90.00 degrees
Sites, in units of the cell vectors:
Pu 0.003 0.776 0.005
Pu 0.997 0.224 0.995
Pu 0.345 0.915 0.690
Pu 0.655 0.085 0.310
Se 0.828 0.167 0.656
Se 0.837 0.661 0.674
Se 0.500 0.500 0.000
Se 0.172 0.833 0.344
Se 0.163 0.339 0.326
N 0.500 0.000 0.000



Computed, not measured: Cu3MoPb after structural relaxation at the PBE-GGA level of DFT.

Results
Excess energy over the best structure of this formula in the dataset: 0 kJ/mol of formula units
ΔH_f (0 K): 1.22 eV/atom

Cell lengths 4.757, 4.757, 4.757 Å; angles 90.00, 90.00, 90.00 degrees
Sites, in units of the cell vectors:
Pb 0.500 0.500 0.500
Cu 0.000 0.500 0.000
Cu 0.000 0.000 0.500
Cu 0.500 0.000 0.000
Mo 0.000 0.000 0.000



| no. | total DFT energy (no corrections) (eV per cell) |
| --- | --- |
| 1 | -51.34 |
| 2 | -95.12 |
| 3 | -20.72 |